Entry 1:
Co2TeIr | PBE | relaxed Values from VASP.

```
&SYSTEM
  ibrav = 0, nat = 4, ntyp = 3
/
ATOMIC_SPECIES
Co 58.93 Co.upf
Te 127.60 Te.upf
Ir 192.22 Ir.upf
CELL_PARAMETERS angstrom
1.498 0.865 8.001
-1.498 0.865 8.001
0.000 -1.730 8.001
ATOMIC_POSITIONS crystal
Co 0.000 0.000 0.000
Co 0.263 0.263 0.263
Te 0.508 0.508 0.508
Ir 0.748 0.748 0.748
```

Computed properties:
For the uncorrected formation energy, the calculation gives 0.582 eV per atom.

***

Entry 2:
CoTeIr2 | PBE | relaxed Values from VASP.

```
&SYSTEM
  ibrav = 0, nat = 4, ntyp = 3
/
ATOMIC_SPECIES
Co 58.93 Co.upf
Te 127.60 Te.upf
Ir 192.22 Ir.upf
CELL_PARAMETERS angstrom
1.449 -2.471 0.000
1.449 2.471 0.000
0.000 0.000 9.218
ATOMIC_POSITIONS crystal
Co 0.000 0.000 0.000
Te 0.000 0.000 0.500
Ir 0.500 0.500 0.223
Ir 0.500 0.500 0.777
```

Computed properties:
The energy above the most stable polymorph in this dataset is 349 meV per atom. For the uncorrected formation energy, the calculation gives 0.696 eV per atom.

***

Entry 3:
CoTeIr2 | PBE | relaxed Values from VASP.

```
&SYSTEM
  ibrav = 0, nat = 4, ntyp = 3
/
ATOMIC_SPECIES
Co 58.93 Co.upf
Te 127.60 Te.upf
Ir 192.22 Ir.upf
CELL_PARAMETERS angstrom
3.003 0.000 0.000
0.000 3.650 0.000
0.000 0.000 5.755
ATOMIC_POSITIONS crystal
Co 0.000 0.000 0.000
Te 0.000 0.000 0.500
Ir 0.500 0.500 0.226
Ir 0.500 0.500 0.774
```

Computed properties:
The energy above the most stable polymorph in this dataset is 39 meV per atom. For the uncorrected formation energy, the calculation gives 0.386 eV per atom.